The following is a PBEsol calculation of a geometry-optimized LiSn2Rh2 structure, from the Alexandria database.

a = 2.9963 Å, b = 7.6118 Å, c = 7.6118 Å
α = 90.00°, β = 90.00°, γ = 90.00°
Element x y z (fractional)
Li (0.0000, 0.0000, 0.0000)
Li (0.0000, 0.5000, 0.5000)
Sn (0.0000, 0.3458, 0.8458)
Sn (0.0000, 0.8458, 0.6542)
Sn (0.0000, 0.6542, 0.1542)
Sn (0.0000, 0.1542, 0.3458)
Rh (0.5000, 0.1424, 0.6424)
Rh (0.5000, 0.3577, 0.1424)
Rh (0.5000, 0.6424, 0.8576)
Rh (0.5000, 0.8576, 0.3577)

## Properties
The density of states at the Fermi level comes out at 0.32 states/eV per atom. Its crystal system is tetragonal. The formation energy is -472 meV/atom.

***

The following is a PBEsol calculation of a geometry-optimized LiSn5Rh3 structure, from the Alexandria database.

a = 5.3930 Å, b = 9.7576 Å, c = 12.7647 Å
α = 90.00°, β = 90.00°, γ = 90.00°
Element x y z (fractional)
Rh (0.0956, 0.3062, 0.7500)
Rh (0.9044, 0.6938, 0.2500)
Rh (0.6481, 0.9484, 0.9220)
Rh (0.0956, 0.1938, 0.2500)
Rh (0.9044, 0.8062, 0.7500)
Rh (0.3519, 0.4484, 0.9220)
Rh (0.3519, 0.0516, 0.4220)
Rh (0.6481, 0.9484, 0.5780)
Rh (0.3519, 0.4484, 0.5780)
Rh (0.6481, 0.5516, 0.0780)
Rh (0.3519, 0.0516, 0.0780)
Rh (0.6481, 0.5516, 0.4220)
Sn (0.8657, 0.3734, 0.9368)
Sn (0.3741, 0.3259, 0.3874)
Sn (0.8432, 0.0764, 0.7500)
Sn (0.6259, 0.6741, 0.6126)
Sn (0.1343, 0.8734, 0.5632)
Sn (0.8657, 0.1266, 0.4368)
Sn (0.1568, 0.9236, 0.2500)
Sn (0.1343, 0.6266, 0.4368)
Sn (0.3741, 0.3259, 0.1126)
Sn (0.3741, 0.1741, 0.6126)
Sn (0.8657, 0.1266, 0.0632)
Sn (0.6259, 0.6741, 0.8874)
Sn (0.1343, 0.8734, 0.9368)
Sn (0.1568, 0.5764, 0.7500)
Sn (0.6259, 0.8259, 0.3874)
Sn (0.8432, 0.4236, 0.2500)
Sn (0.8657, 0.3734, 0.5632)
Sn (0.1343, 0.6266, 0.0632)
Sn (0.3741, 0.1741, 0.8874)
Sn (0.6259, 0.8259, 0.1126)
Li (0.4056, 0.8912, 0.7500)
Li (0.5944, 0.3912, 0.7500)
Li (0.4056, 0.6088, 0.2500)
Li (0.5944, 0.1088, 0.2500)

## Properties
The density of states at the Fermi level comes out at 0.29 states/eV per atom. Its crystal system is orthorhombic. The formation energy is -507 meV/atom.

***

The following is a PBEsol calculation of a geometry-optimized SrLi2Rh structure, from the Alexandria database.

a = 3.3945 Å, b = 5.8054 Å, c = 4.9107 Å
α = 114.34°, β = 90.00°, γ = 107.00°
Element x y z (fractional)
Li (0.2017, 0.4035, 0.1985)
Li (0.7983, 0.5965, 0.8015)
Rh (0.5000, 0.0000, 0.0000)
Sr (0.0000, 0.0000, 0.5000)

## Properties
The value obtained for the distance to the lowest polymorph of the same formula is 0.0308 eV/atom. The density of states at the Fermi level comes out at 0.43 states/eV per atom. Its crystal system is monoclinic. The formation energy is 8 meV/atom.

***

The following is a PBEsol calculation of a geometry-optimized SrLi3Rh structure, from the Alexandria database.

a = 4.7784 Å, b = 4.7784 Å, c = 4.7784 Å
α = 90.00°, β = 90.00°, γ = 90.00°
Element x y z (fractional)
Rh (0.0000, 0.0000, 0.0000)
Li (0.5000, 0.0000, 0.0000)
Li (0.0000, 0.0000, 0.5000)
Li (0.0000, 0.5000, 0.0000)
Sr (0.5000, 0.5000, 0.5000)

## Properties
The density of states at the Fermi level comes out at 0.47 states/eV per atom. Its crystal system is cubic. The formation energy is 102 meV/atom.

***

The following is a PBEsol calculation of a geometry-optimized SrLi2Rh structure, from the Alexandria database.

a = 4.3537 Å, b = 4.3537 Å, c = 5.7085 Å
α = 67.58°, β = 67.58°, γ = 60.00°
Element x y z (fractional)
Li (0.2442, 0.2442, 0.2675)
Li (0.9503, 0.9503, 0.1492)
Rh (0.5540, 0.5540, 0.3379)
Sr (0.7590, 0.7590, 0.7230)

## Properties
The value obtained for the distance to the lowest polymorph of the same formula is 0.0000 eV/atom. The density of states at the Fermi level comes out at 0.57 states/eV per atom. Its crystal system is trigonal. The formation energy is -23 meV/atom.

***

The following is a PBEsol calculation of a geometry-optimized SrLiRh2 structure, from the Alexandria database.

a = 4.3099 Å, b = 4.3099 Å, c = 5.6780 Å
α = 67.70°, β = 67.70°, γ = 60.00°
Element x y z (fractional)
Li (0.7068, 0.7068, 0.8796)
Rh (0.9846, 0.9846, 0.0461)
Rh (0.3125, 0.3125, 0.0624)
Sr (0.5106, 0.5106, 0.4681)

## Properties
The density of states at the Fermi level comes out at 0.97 states/eV per atom. Its crystal system is trigonal. The formation energy is -67 meV/atom.

***

| no. | M_tot (μB per formula unit) |
| --- | --- |
| 1 | 0.0 |
| 2 | 0.0 |
| 3 | 0.0 |
| 4 | 0.0 |
| 5 | 0.0 |
| 6 | 1.1 |